No. 1
! Ba2BeGaO | the Alexandria database | PBE | relaxed; values from VASP
&SYSTEM
  ibrav = 0, nat = 5, ntyp = 4
/
ATOMIC_SPECIES
O 16.00 O.upf
Be 9.01 Be.upf
Ba 137.33 Ba.upf
Ga 69.72 Ga.upf
ATOMIC_POSITIONS crystal
O 0.000 0.500 0.000
Be 0.500 0.500 0.500
Ba 0.000 0.000 0.500
Ba 0.500 0.000 0.000
Ga 0.000 0.000 0.000
CELL_PARAMETERS angstrom
6.381 0.000 0.000
0.000 3.940 0.000
0.000 0.000 6.381
! raw formation energy = 7.2 kJ/mol of atoms
! space-group type = P4/mmm (123)
! crystal system = tetragonal



No. 2
! RhC3 | the Alexandria database | PBE | relaxed; values from VASP
&SYSTEM
  ibrav = 0, nat = 4, ntyp = 2
/
ATOMIC_SPECIES
C 12.01 C.upf
Rh 102.91 Rh.upf
ATOMIC_POSITIONS crystal
C 0.000 0.000 0.931
C 0.500 0.500 0.750
C 0.000 0.000 0.569
Rh 0.500 0.500 0.250
CELL_PARAMETERS angstrom
-0.922 1.853 2.546
-1.447 -1.215 -2.682
-1.382 -4.533 2.799
! relative energy among the computed polymorphs = 5.55 eV per formula unit
! space-group type = Cmmm (65)
! crystal system = orthorhombic
! DFT formation energy = 1.956 eV/atom



| no. | calculated volume (Å³/cell) | N(E_F) (states/eV per cell) |
| --- | --- | --- |
| 1 | 160.4 | 5.067 |
| 2 | 41.1 | 3.068 |